Compound: Na3CuCl
Source: Alexandria
Functional: PBE-GGA
Structure: relaxed

Summary:
* N(E_F): 2.9 states/eV/f.u.
* crystal system: cubic
* symmetry: Pm-3m, No. 221
* formation energy from raw total energies: -336 meV per atom

Cell lengths 5.2899, 5.2899, 5.2899 Å; angles 90.00, 90.00, 90.00 degrees
With the nearest neighbours (Å) after each atom.
Atoms (fractional coordinates):
Na: 0.0000 0.0000 0.5000  2 Cl 2.64
Na: 0.0000 0.5000 0.0000  2 Cl 2.64
Na: 0.5000 0.0000 0.0000  2 Cl 2.64
Cu: 0.5000 0.5000 0.5000  12 Na 3.74
Cl: 0.0000 0.0000 0.0000  6 Na 2.64

---

Compound: Na2CuCl
Source: Alexandria
Functional: PBE-GGA
Structure: relaxed

Summary:
* N(E_F): 0.0 states/eV/f.u.
* crystal system: tetragonal
* symmetry: I-42d, No. 122
* formation energy from raw total energies: -487 meV per atom

Cell lengths 6.7029, 6.7029, 6.7029 Å; angles 113.59, 113.59, 101.52 degrees
With the nearest neighbours (Å) after each atom.
Atoms (fractional coordinates):
Na: 0.0976 0.6250 0.9726  2 Cl 2.68, 2 Cu 2.94
Na: 0.3750 0.3476 0.4726  2 Cl 2.68, 2 Cu 2.94
Na: 0.6524 0.1250 0.0274  2 Cl 2.68, 2 Cu 2.94
Na: 0.8750 0.9024 0.5274  2 Cl 2.68, 2 Cu 2.94
Cu: 0.2500 0.7500 0.5000  4 Na 2.94
Cu: 0.5000 0.5000 0.0000  4 Na 2.94
Cl: 0.0000 0.0000 0.0000  4 Na 2.68
Cl: 0.7500 0.2500 0.5000  4 Na 2.68

---

Compound: Na5CuCl6
Source: Alexandria
Functional: PBE-GGA
Structure: relaxed

Summary:
* N(E_F): 0.0 states/eV/f.u.
* crystal system: monoclinic
* symmetry: C2/m, No. 12
* formation energy from raw total energies: -1530 meV per atom

Cell lengths 6.9618, 6.9618, 6.8232 Å; angles 97.81, 97.81, 121.24 degrees
With the nearest neighbours (Å) after each atom.
Atoms (fractional coordinates):
Na: 0.0000 0.0000 0.0000  4 Cl 2.80
Na: 0.1762 0.8238 0.5000  6 Cl 2.71-3.00
Na: 0.3348 0.6652 0.0000  6 Cl 2.75-2.91
Na: 0.6652 0.3348 0.0000  6 Cl 2.75-2.91
Na: 0.8238 0.1762 0.5000  6 Cl 2.71-3.00
Cu: 0.5000 0.5000 0.5000  2 Cl 2.27
Cl: 0.0643 0.3998 0.2360  5 Na 2.71-2.89, 1 Cu 2.98
Cl: 0.2915 0.2915 0.7072  1 Cu 2.27
Cl: 0.3998 0.0643 0.2360  5 Na 2.71-2.89, 1 Cu 2.98
Cl: 0.6002 0.9357 0.7640  5 Na 2.71-2.89, 1 Cu 2.98
Cl: 0.7085 0.7085 0.2928  1 Cu 2.27
Cl: 0.9357 0.6002 0.7640  5 Na 2.71-2.89, 1 Cu 2.98

---

Compound: Na3Cu2Cl6
Source: Alexandria
Functional: PBE-GGA
Structure: relaxed

Summary:
* N(E_F): 4.8 states/eV/f.u.
* crystal system: tetragonal
* symmetry: I4/mmm, No. 139
* formation energy from raw total energies: -1146 meV per atom

Cell lengths 12.2468, 12.2468, 12.2468 Å; angles 158.23, 158.23, 30.98 degrees
With the nearest neighbours (Å) after each atom.
Atoms (fractional coordinates):
Na: 0.0000 0.0000 0.0000  8 Cl 2.97
Na: 0.1838 0.1838 0.0000  1 Cl 2.72
Na: 0.8162 0.8162 0.0000  1 Cl 2.72
Cu: 0.4017 0.4017 0.0000  5 Cl 2.36-2.42
Cu: 0.5983 0.5983 0.0000  5 Cl 2.36-2.42
Cl: 0.0787 0.5787 0.5000  2 Cu 2.36
Cl: 0.2990 0.2990 0.0000  1 Cu 2.42
Cl: 0.4213 0.9213 0.5000  2 Cu 2.36
Cl: 0.5787 0.0787 0.5000  2 Cu 2.36
Cl: 0.7010 0.7010 0.0000  1 Cu 2.42
Cl: 0.9213 0.4213 0.5000  2 Cu 2.36

---

Compound: Na2NbCuCl
Source: Alexandria
Functional: PBE-GGA
Structure: relaxed

Summary:
* N(E_F): 3.7 states/eV/f.u.
* crystal system: tetragonal
* symmetry: P4/mmm, No. 123
* formation energy from raw total energies: 518 meV per atom

Cell lengths 4.9227, 4.9227, 4.7997 Å; angles 90.00, 90.00, 90.00 degrees
With the nearest neighbours (Å) after each atom.
Atoms (fractional coordinates):
Na: 0.0000 0.5000 0.0000  2 Cl 2.46
Na: 0.5000 0.0000 0.0000  2 Cl 2.46
Nb: 0.0000 0.0000 0.5000  2 Cl 2.40
Cu: 0.5000 0.5000 0.5000  8 Na 3.44, 4 Nb 3.48
Cl: 0.0000 0.0000 0.0000  2 Nb 2.40, 4 Na 2.46

---

Compound: NaCu2NiCl6
Source: Alexandria
Functional: PBE-GGA
Structure: relaxed

Summary:
* N(E_F): 6.5 states/eV/f.u.
* crystal system: trigonal
* symmetry: R-3, No. 148
* formation energy from raw total energies: -744 meV per atom

Cell lengths 7.2779, 7.2779, 7.2779 Å; angles 52.22, 52.22, 52.22 degrees
With the nearest neighbours (Å) after each atom.
Atoms (fractional coordinates):
Na: 0.0000 0.0000 0.0000  6 Cl 2.87
Cu: 0.2330 0.2330 0.2330  3 Cl 2.21
Cu: 0.7670 0.7670 0.7670  3 Cl 2.21
Ni: 0.5000 0.5000 0.5000  6 Cl 2.38
Cl: 0.1205 0.4339 0.7232  1 Cu 2.21, 1 Ni 2.38
Cl: 0.2768 0.8795 0.5661  1 Cu 2.21, 1 Ni 2.38
Cl: 0.4339 0.7232 0.1205  1 Cu 2.21, 1 Ni 2.38
Cl: 0.5661 0.2768 0.8795  1 Cu 2.21, 1 Ni 2.38
Cl: 0.7232 0.1205 0.4339  1 Cu 2.21, 1 Ni 2.38
Cl: 0.8795 0.5661 0.2768  1 Cu 2.21, 1 Ni 2.38

---

Compound: Na2CuNiCl6
Source: Alexandria
Functional: PBE-GGA
Structure: relaxed

Summary:
* N(E_F): 1.2 states/eV/f.u.
* crystal system: monoclinic
* symmetry: P2_1/c, No. 14
* formation energy from raw total energies: -1005 meV per atom

Cell lengths 6.5132, 6.7620, 11.1709 Å; angles 90.00, 124.38, 90.00 degrees
With the nearest neighbours (Å) after each atom.
Atoms (fractional coordinates):
Na: 0.2224 0.0749 0.2455  7 Cl 2.83-3.15
Na: 0.2224 0.4251 0.7455  7 Cl 2.83-3.15
Na: 0.7776 0.5749 0.2545  7 Cl 2.83-3.15
Na: 0.7776 0.9251 0.7545  7 Cl 2.83-3.15
Cu: 0.5000 0.0000 0.0000  6 Cl 2.36-2.54
Cu: 0.5000 0.5000 0.5000  6 Cl 2.36-2.54
Ni: 0.0000 0.0000 0.5000  6 Cl 2.33-2.43
Ni: 0.0000 0.5000 0.0000  6 Cl 2.33-2.43
Cl: 0.1438 0.2102 0.9521  1 Ni 2.36, 1 Cu 2.51
Cl: 0.1438 0.2898 0.4521  1 Ni 2.36, 1 Cu 2.51
Cl: 0.2392 0.6918 0.9486  1 Ni 2.33, 1 Cu 2.54
Cl: 0.2392 0.8082 0.4486  1 Ni 2.33, 1 Cu 2.54
Cl: 0.3518 0.0202 0.7523  1 Cu 2.36, 1 Ni 2.43
Cl: 0.3518 0.4798 0.2523  1 Cu 2.36, 1 Ni 2.43
Cl: 0.6482 0.5202 0.7477  1 Cu 2.36, 1 Ni 2.43
Cl: 0.6482 0.9798 0.2477  1 Cu 2.36, 1 Ni 2.43
Cl: 0.7608 0.1918 0.5514  1 Ni 2.33, 1 Cu 2.54
Cl: 0.7608 0.3082 0.0514  1 Ni 2.33, 1 Cu 2.54
Cl: 0.8562 0.7102 0.5479  1 Ni 2.36, 1 Cu 2.51
Cl: 0.8562 0.7898 0.0479  1 Ni 2.36, 1 Cu 2.51

---

Compound: NaNpCuCl6
Source: Alexandria
Functional: PBE-GGA
Structure: relaxed

Summary:
* N(E_F): 8.1 states/eV/f.u.
* crystal system: trigonal
* symmetry: P-31c, No. 163
* formation energy from raw total energies: -1389 meV per atom

Cell lengths 6.5497, 6.5497, 12.8564 Å; angles 90.00, 90.00, 120.00 degrees
With the nearest neighbours (Å) after each atom.
Atoms (fractional coordinates):
Na: 0.0000 0.0000 0.0000  6 Cl 2.88
Na: 0.0000 0.0000 0.5000  6 Cl 2.88
Np: 0.3333 0.6667 0.2500  6 Cl 2.64
Np: 0.6667 0.3333 0.7500  6 Cl 2.64
Cu: 0.3333 0.6667 0.7500  6 Cl 2.55
Cu: 0.6667 0.3333 0.2500  6 Cl 2.55
Cl: 0.0105 0.3574 0.6339  1 Cu 2.55, 1 Np 2.64
Cl: 0.0105 0.6531 0.8661  1 Cu 2.55, 1 Np 2.64
Cl: 0.3469 0.3574 0.8661  1 Cu 2.55, 1 Np 2.64
Cl: 0.3469 0.9895 0.6339  1 Cu 2.55, 1 Np 2.64
Cl: 0.3574 0.0105 0.1339  1 Cu 2.55, 1 Np 2.64
Cl: 0.3574 0.3469 0.3661  1 Cu 2.55, 1 Np 2.64
Cl: 0.6426 0.6531 0.6339  1 Cu 2.55, 1 Np 2.64
Cl: 0.6426 0.9895 0.8661  1 Cu 2.55, 1 Np 2.64
Cl: 0.6531 0.0105 0.3661  1 Cu 2.55, 1 Np 2.64
Cl: 0.6531 0.6426 0.1339  1 Cu 2.55, 1 Np 2.64
Cl: 0.9895 0.3469 0.1339  1 Cu 2.55, 1 Np 2.64
Cl: 0.9895 0.6426 0.3661  1 Cu 2.55, 1 Np 2.64

---

Compound: NaNpCu2Cl8
Source: Alexandria
Functional: PBE-GGA
Structure: relaxed

Summary:
* N(E_F): 13.0 states/eV/f.u.
* crystal system: triclinic
* symmetry: P-1, No. 2
* formation energy from raw total energies: -1195 meV per atom

Cell lengths 6.4704, 6.7931, 8.3406 Å; angles 71.64, 89.57, 79.72 degrees
With the nearest neighbours (Å) after each atom.
Atoms (fractional coordinates):
Na: 0.0000 0.0000 0.0000  6 Cl 2.81-3.01
Np: 0.0000 0.0000 0.5000  6 Cl 2.54-2.63
Cu: 0.4609 0.3658 0.1711  4 Cl 2.28-2.37
Cu: 0.5391 0.6342 0.8289  4 Cl 2.28-2.37
Cl: 0.1156 0.2153 0.6714  1 Np 2.54, 1 Na 2.84
Cl: 0.1460 0.2290 0.2213  1 Cu 2.37, 1 Np 2.63
Cl: 0.3599 0.7437 0.5720  1 Cu 2.28
Cl: 0.3922 0.7271 0.0525  2 Cu 2.30
Cl: 0.6078 0.2729 0.9475  2 Cu 2.30
Cl: 0.6401 0.2563 0.4280  1 Cu 2.28
Cl: 0.8540 0.7710 0.7787  1 Cu 2.37, 1 Np 2.63
Cl: 0.8844 0.7847 0.3286  1 Np 2.54, 1 Na 2.84

---

Compound: Na2NpCuCl6
Source: Alexandria
Functional: PBE-GGA
Structure: relaxed

Summary:
* N(E_F): 6.2 states/eV/f.u.
* crystal system: monoclinic
* symmetry: P2_1/c, No. 14
* formation energy from raw total energies: -1455 meV per atom

Cell lengths 7.0985, 6.5211, 14.0370 Å; angles 90.00, 120.34, 90.00 degrees
With the nearest neighbours (Å) after each atom.
Atoms (fractional coordinates):
Na: 0.1986 0.0017 0.1999  6 Cl 2.78-3.06
Na: 0.1986 0.4983 0.6999  6 Cl 2.78-3.06
Na: 0.8014 0.5017 0.3001  6 Cl 2.78-3.06
Na: 0.8014 0.9983 0.8001  6 Cl 2.78-3.06
Np: 0.5000 0.0000 0.0000  6 Cl 2.72-2.82
Np: 0.5000 0.5000 0.5000  6 Cl 2.72-2.82
Cu: 0.0000 0.0000 0.5000  2 Cl 2.14
Cu: 0.0000 0.5000 0.0000  2 Cl 2.14
Cl: 0.1572 0.2212 0.9979  1 Cu 2.14
Cl: 0.1572 0.2788 0.4979  1 Cu 2.14
Cl: 0.1692 0.7359 0.3469  1 Np 2.72, 2 Na 2.78-2.80
Cl: 0.1692 0.7641 0.8469  1 Np 2.72, 2 Na 2.78-2.80
Cl: 0.4812 0.7274 0.6572  1 Np 2.72, 2 Na 2.78-2.80
Cl: 0.4812 0.7726 0.1572  1 Np 2.72, 2 Na 2.78-2.80
Cl: 0.5188 0.2274 0.8428  1 Np 2.72, 2 Na 2.78-2.80
Cl: 0.5188 0.2726 0.3428  1 Np 2.72, 2 Na 2.78-2.80
Cl: 0.8308 0.2359 0.1531  1 Np 2.72, 2 Na 2.78-2.80
Cl: 0.8308 0.2641 0.6531  1 Np 2.72, 2 Na 2.78-2.80
Cl: 0.8428 0.7212 0.5021  1 Cu 2.14
Cl: 0.8428 0.7788 0.0021  1 Cu 2.14

---

- N(E_F) of number 6 (NaCu2NiCl6)?
  6.5 states/eV/f.u.

---

- Among the records above, which one has the highest formation energy from raw total energies?
  Na2NbCuCl